This record from OQMD via LeMat-Bulk describes crystalline Hf4GeBiN2 at its relaxed geometry. The functional is GGA-PBE.

Calculated values
Space group = P-6m2, No. 187
Energy = -72.72 eV for the cell shown

Geometry as CIF:
```
data_Hf4GeBiN2
_chemical_formula_sum 'Hf4 Ge1 Bi1 N2'
_cell_length_a 3.319
_cell_length_b 3.319
_cell_length_c 13.755
_cell_angle_alpha 90.00
_cell_angle_beta 90.00
_cell_angle_gamma 120.00
_space_group_name_H-M_alt 'P 1'
_space_group_IT_number 1
loop_
_space_group_symop_operation_xyz
'x,y,z'
loop_
_atom_site_label
_atom_site_type_symbol
_atom_site_fract_x
_atom_site_fract_y
_atom_site_fract_z
_atom_site_occupancy
Hf1 Hf 0.000 0.000 0.150 1
Hf2 Hf 0.000 0.000 0.850 1
Hf3 Hf 0.667 0.333 0.325 1
Hf4 Hf 0.667 0.333 0.675 1
Ge1 Ge 0.667 0.333 0.000 1
Bi1 Bi 0.000 0.000 0.500 1
N1 N 0.333 0.667 0.237 1
N2 N 0.333 0.667 0.763 1
```



This record from OQMD via LeMat-Bulk describes crystalline IrPb2 at its relaxed geometry. The functional is GGA-PBE.

Calculated values
Space group = Fd-3m, No. 227
Energy = -24.46 eV for the cell shown

Geometry as CIF:
```
data_IrPb2
_chemical_formula_sum 'Ir2 Pb4'
_cell_length_a 6.026
_cell_length_b 6.026
_cell_length_c 6.026
_cell_angle_alpha 60.00
_cell_angle_beta 60.00
_cell_angle_gamma 60.00
_space_group_name_H-M_alt 'P 1'
_space_group_IT_number 1
loop_
_space_group_symop_operation_xyz
'x,y,z'
loop_
_atom_site_label
_atom_site_type_symbol
_atom_site_fract_x
_atom_site_fract_y
_atom_site_fract_z
_atom_site_occupancy
Ir1 Ir 0.125 0.125 0.125 1
Ir2 Ir 0.875 0.875 0.875 1
Pb1 Pb 0.000 0.500 0.500 1
Pb2 Pb 0.500 0.000 0.500 1
Pb3 Pb 0.500 0.500 0.000 1
Pb4 Pb 0.500 0.500 0.500 1
```



This record from OQMD via LeMat-Bulk describes crystalline Y3Mg3ZnIr2 at its relaxed geometry. The functional is GGA-PBE.

Calculated values
Space group = P-62m, No. 189
Energy = -47.77 eV for the cell shown

Geometry as CIF:
```
data_Y3Mg3ZnIr2
_chemical_formula_sum 'Y3 Mg3 Zn1 Ir2'
_cell_length_a 7.382
_cell_length_b 7.382
_cell_length_c 4.041
_cell_angle_alpha 90.00
_cell_angle_beta 90.00
_cell_angle_gamma 120.00
_space_group_name_H-M_alt 'P 1'
_space_group_IT_number 1
loop_
_space_group_symop_operation_xyz
'x,y,z'
loop_
_atom_site_label
_atom_site_type_symbol
_atom_site_fract_x
_atom_site_fract_y
_atom_site_fract_z
_atom_site_occupancy
Y1 Y 0.000 0.582 0.000 1
Y2 Y 0.418 0.418 0.000 1
Y3 Y 0.582 0.000 0.000 1
Mg1 Mg 0.000 0.252 0.500 1
Mg2 Mg 0.252 0.000 0.500 1
Mg3 Mg 0.748 0.748 0.500 1
Zn1 Zn 0.000 0.000 0.000 1
Ir1 Ir 0.333 0.667 0.500 1
Ir2 Ir 0.667 0.333 0.500 1
```



This record from OQMD via LeMat-Bulk describes crystalline LuCdCuPd at its relaxed geometry. The functional is GGA-PBE.

Calculated values
Space group = F-43m, No. 216
Energy = -64.98 eV for the cell shown
Energy of formation = -0.48 eV per atom

Geometry as CIF:
```
data_LuCdCuPd
_chemical_formula_sum 'Lu4 Cd4 Cu4 Pd4'
_cell_length_a 6.635
_cell_length_b 6.635
_cell_length_c 6.635
_cell_angle_alpha 90.00
_cell_angle_beta 90.00
_cell_angle_gamma 90.00
_space_group_name_H-M_alt 'P 1'
_space_group_IT_number 1
loop_
_space_group_symop_operation_xyz
'x,y,z'
loop_
_atom_site_label
_atom_site_type_symbol
_atom_site_fract_x
_atom_site_fract_y
_atom_site_fract_z
_atom_site_occupancy
Lu1 Lu 0.000 0.000 0.000 1
Lu2 Lu 0.000 0.500 0.500 1
Lu3 Lu 0.500 0.000 0.500 1
Lu4 Lu 0.500 0.500 0.000 1
Cd1 Cd 0.000 0.000 0.500 1
Cd2 Cd 0.000 0.500 0.000 1
Cd3 Cd 0.500 0.000 0.000 1
Cd4 Cd 0.500 0.500 0.500 1
Cu1 Cu 0.250 0.250 0.250 1
Cu2 Cu 0.250 0.750 0.750 1
Cu3 Cu 0.750 0.250 0.750 1
Cu4 Cu 0.750 0.750 0.250 1
Pd1 Pd 0.250 0.250 0.750 1
Pd2 Pd 0.250 0.750 0.250 1
Pd3 Pd 0.750 0.250 0.250 1
Pd4 Pd 0.750 0.750 0.750 1
```



This record from OQMD via LeMat-Bulk describes crystalline InAgPtSe2S at its relaxed geometry. The functional is GGA-PBE.

Calculated values
Space group = Cmcm, No. 63
Energy = -48.43 eV for the cell shown

Geometry as CIF:
```
data_InAgPtSe2S
_chemical_formula_sum 'In2 Ag2 Pt2 Se4 S2'
_cell_length_a 6.690
_cell_length_b 6.690
_cell_length_c 10.827
_cell_angle_alpha 90.00
_cell_angle_beta 90.00
_cell_angle_gamma 147.40
_space_group_name_H-M_alt 'P 1'
_space_group_IT_number 1
loop_
_space_group_symop_operation_xyz
'x,y,z'
loop_
_atom_site_label
_atom_site_type_symbol
_atom_site_fract_x
_atom_site_fract_y
_atom_site_fract_z
_atom_site_occupancy
In1 In 0.163 0.837 0.750 1
In2 In 0.837 0.163 0.250 1
Ag1 Ag 0.162 0.838 0.250 1
Ag2 Ag 0.838 0.162 0.750 1
Pt1 Pt 0.500 0.500 0.000 1
Pt2 Pt 0.500 0.500 0.500 1
Se1 Se 0.130 0.870 0.010 1
Se2 Se 0.130 0.870 0.490 1
Se3 Se 0.870 0.130 0.510 1
Se4 Se 0.870 0.130 0.990 1
S1 S 0.485 0.515 0.250 1
S2 S 0.515 0.485 0.750 1
```



This record from OQMD via LeMat-Bulk describes crystalline HfGa2Bi at its relaxed geometry. The functional is GGA-PBE.

Calculated values
Space group = F-43m, No. 216
Energy = -76.47 eV for the cell shown

Geometry as CIF:
```
data_HfGa2Bi
_chemical_formula_sum 'Hf4 Ga8 Bi4'
_cell_length_a 7.141
_cell_length_b 7.141
_cell_length_c 7.141
_cell_angle_alpha 90.00
_cell_angle_beta 90.00
_cell_angle_gamma 90.00
_space_group_name_H-M_alt 'P 1'
_space_group_IT_number 1
loop_
_space_group_symop_operation_xyz
'x,y,z'
loop_
_atom_site_label
_atom_site_type_symbol
_atom_site_fract_x
_atom_site_fract_y
_atom_site_fract_z
_atom_site_occupancy
Hf1 Hf 0.000 0.000 0.000 1
Hf2 Hf 0.000 0.500 0.500 1
Hf3 Hf 0.500 0.000 0.500 1
Hf4 Hf 0.500 0.500 0.000 1
Ga1 Ga 0.000 0.000 0.500 1
Ga2 Ga 0.000 0.500 0.000 1
Ga3 Ga 0.250 0.250 0.250 1
Ga4 Ga 0.250 0.750 0.750 1
Ga5 Ga 0.500 0.000 0.000 1
Ga6 Ga 0.500 0.500 0.500 1
Ga7 Ga 0.750 0.250 0.750 1
Ga8 Ga 0.750 0.750 0.250 1
Bi1 Bi 0.250 0.250 0.750 1
Bi2 Bi 0.250 0.750 0.250 1
Bi3 Bi 0.750 0.250 0.250 1
Bi4 Bi 0.750 0.750 0.750 1
```